The following is a PBE calculation of crystalline InNiP at its relaxed geometry, from Alexandria via LeMat-Bulk.

Values from the calculation:
Calculated volume = 230 Å³ per cell
Formation energy = 0.493 eV per atom

Structure (CIF):
```
data_InNiP
_chemical_formula_sum 'In4 Ni4 P4'
_space_group_name_H-M_alt 'F -4 3 m'
_space_group_IT_number 216
_space_group_name_Hall 'F -4 2 3'
_cell_length_a 6.1233
_cell_length_b 6.1233
_cell_length_c 6.1233
_cell_angle_alpha 90.00
_cell_angle_beta 90.00
_cell_angle_gamma 90.00
loop_
_atom_site_label
_atom_site_type_symbol
_atom_site_fract_x
_atom_site_fract_y
_atom_site_fract_z
In1 In 0.0000 0.0000 0.0000
Ni1 Ni 0.2500 0.2500 0.2500
P1 P 0.2500 0.2500 0.7500
```

***

The following is a PBE calculation of crystalline InNiP3 at its relaxed geometry, from Alexandria via LeMat-Bulk.

Values from the calculation:
Calculated volume = 91 Å³ per cell
Formation energy = 0.506 eV per atom

Structure (CIF):
```
data_InNiP3
_chemical_formula_sum 'In1 Ni1 P3'
_space_group_name_H-M_alt 'P m -3 m'
_space_group_IT_number 221
_space_group_name_Hall '-P 4 2 3'
_cell_length_a 4.4962
_cell_length_b 4.4962
_cell_length_c 4.4962
_cell_angle_alpha 90.00
_cell_angle_beta 90.00
_cell_angle_gamma 90.00
loop_
_atom_site_label
_atom_site_type_symbol
_atom_site_fract_x
_atom_site_fract_y
_atom_site_fract_z
In1 In 0.0000 0.0000 0.0000
Ni1 Ni 0.5000 0.5000 0.5000
P1 P 0.0000 0.5000 0.5000
```

***

The following is a PBE calculation of crystalline InNiP at its relaxed geometry, from Alexandria via LeMat-Bulk.

Values from the calculation:
Calculated volume = 204 Å³ per cell
Formation energy = -0.065 eV per atom

Structure (CIF):
```
data_InNiP
_chemical_formula_sum 'In4 Ni4 P4'
_space_group_name_H-M_alt 'F -4 3 m'
_space_group_IT_number 216
_space_group_name_Hall 'F -4 2 3'
_cell_length_a 5.8843
_cell_length_b 5.8843
_cell_length_c 5.8843
_cell_angle_alpha 90.00
_cell_angle_beta 90.00
_cell_angle_gamma 90.00
loop_
_atom_site_label
_atom_site_type_symbol
_atom_site_fract_x
_atom_site_fract_y
_atom_site_fract_z
In1 In 0.0000 0.0000 0.0000
Ni1 Ni 0.2500 0.2500 0.2500
P1 P 0.0000 0.0000 0.5000
```

***

The following is a PBE calculation of crystalline InNiP at its relaxed geometry, from Alexandria via LeMat-Bulk.

Values from the calculation:
Calculated volume = 52 Å³ per cell
Formation energy = -0.075 eV per atom

Structure (CIF):
```
data_InNiP
_chemical_formula_sum 'In1 Ni1 P1'
_space_group_name_H-M_alt 'P 3 m 1'
_space_group_IT_number 156
_cell_length_a 3.2849
_cell_length_b 3.2849
_cell_length_c 5.5116
_cell_angle_alpha 90.00
_cell_angle_beta 90.00
_cell_angle_gamma 120.00
loop_
_space_group_symop_operation_xyz
'x,y,z'
'-y,x-y,z'
'-x+y,-x,z'
'-y,-x,z'
'-x+y,y,z'
'x,x-y,z'
loop_
_atom_site_label
_atom_site_type_symbol
_atom_site_fract_x
_atom_site_fract_y
_atom_site_fract_z
In1 In 0.0000 0.0000 0.0000
Ni1 Ni 0.6667 0.3333 0.3687
P1 P 0.3333 0.6667 0.5777
```

***

The following is a PBE calculation of crystalline InNiP at its relaxed geometry, from Alexandria via LeMat-Bulk.

Values from the calculation:
Calculated volume = 145 Å³ per cell
Formation energy = 0.041 eV per atom

Structure (CIF):
```
data_InNiP
_chemical_formula_sum 'In3 Ni3 P3'
_space_group_name_H-M_alt 'P -6 2 m'
_space_group_IT_number 189
_space_group_name_Hall 'P -6 -2'
_cell_length_a 6.6020
_cell_length_b 6.6020
_cell_length_c 3.8379
_cell_angle_alpha 90.00
_cell_angle_beta 90.00
_cell_angle_gamma 120.00
loop_
_atom_site_label
_atom_site_type_symbol
_atom_site_fract_x
_atom_site_fract_y
_atom_site_fract_z
In1 In 0.0000 0.4080 0.0000
Ni1 Ni 0.0000 0.7683 0.5000
P1 P 0.0000 0.0000 0.0000
P2 P 0.3333 0.6667 0.5000
```

***

The following is a PBE calculation of crystalline In2NiP2 at its relaxed geometry, from Alexandria via LeMat-Bulk.

Values from the calculation:
Calculated volume = 193 Å³ per cell
Formation energy = -0.117 eV per atom

Structure (CIF):
```
data_In2NiP2
_chemical_formula_sum 'In4 Ni2 P4'
_space_group_name_H-M_alt 'P 4/m b m'
_space_group_IT_number 127
_space_group_name_Hall '-P 4 2ab'
_cell_length_a 5.7741
_cell_length_b 5.7741
_cell_length_c 5.7775
_cell_angle_alpha 90.00
_cell_angle_beta 90.00
_cell_angle_gamma 90.00
loop_
_atom_site_label
_atom_site_type_symbol
_atom_site_fract_x
_atom_site_fract_y
_atom_site_fract_z
In1 In 0.1862 0.3138 0.0000
Ni1 Ni 0.0000 0.0000 0.5000
P1 P 0.1361 0.3639 0.5000
```

***

The following is a PBE calculation of crystalline In2Ni21P6 at its relaxed geometry, from Alexandria via LeMat-Bulk.

Values from the calculation:
Calculated volume = 1374 Å³ per cell
Formation energy = -0.410 eV per atom

Structure (CIF):
```
data_In2Ni21P6
_chemical_formula_sum 'In8 Ni84 P24'
_space_group_name_H-M_alt 'F m -3 m'
_space_group_IT_number 225
_space_group_name_Hall '-F 4 2 3'
_cell_length_a 11.1180
_cell_length_b 11.1180
_cell_length_c 11.1180
_cell_angle_alpha 90.00
_cell_angle_beta 90.00
_cell_angle_gamma 90.00
loop_
_atom_site_label
_atom_site_type_symbol
_atom_site_fract_x
_atom_site_fract_y
_atom_site_fract_z
In1 In 0.2500 0.2500 0.2500
Ni1 Ni 0.0000 0.0000 0.0000
Ni2 Ni 0.0000 0.1738 0.1738
Ni3 Ni 0.1151 0.1151 0.3849
P1 P 0.0000 0.0000 0.2622
```

***

The following is a PBE calculation of crystalline InNiP at its relaxed geometry, from Alexandria via LeMat-Bulk.

Values from the calculation:
Calculated volume = 310 Å³ per cell
Formation energy = -0.028 eV per atom

Structure (CIF):
```
data_InNiP
_chemical_formula_sum 'In6 Ni6 P6'
_space_group_name_H-M_alt 'A m m 2'
_space_group_IT_number 38
_cell_length_a 2.9437
_cell_length_b 17.0166
_cell_length_c 6.1913
_cell_angle_alpha 90.00
_cell_angle_beta 90.00
_cell_angle_gamma 90.00
loop_
_space_group_symop_operation_xyz
'x,y,z'
'-x,-y,z'
'-x,y,z'
'x,-y,z'
'x,y+1/2,z+1/2'
'-x,-y+1/2,z+1/2'
'-x,y+1/2,z+1/2'
'x,-y+1/2,z+1/2'
loop_
_atom_site_label
_atom_site_type_symbol
_atom_site_fract_x
_atom_site_fract_y
_atom_site_fract_z
In1 In 0.0000 0.0000 0.0000
In2 In 0.0000 0.1441 0.5978
Ni1 Ni 0.5000 0.0000 0.6550
Ni2 Ni 0.5000 0.2472 0.3339
P1 P 0.0000 0.0000 0.4009
P2 P 0.0000 0.1808 0.0937
```

***

Number 1: total magnetization 0.00 μB/atom. Number 2: total magnetization 0.00 μB/atom. Number 3: total magnetization 0.00 μB/atom. Number 4: total magnetization 0.00 μB/atom. Number 5: total magnetization 0.00 μB/atom. Number 6: total magnetization 0.00 μB/atom. Number 7: total magnetization 0.00 μB/atom. Number 8: total magnetization 0.00 μB/atom.